Al4CuRu3 | PBE | optimized geometry

CIF file:
```
data_Al4CuRu3
_chemical_formula_sum 'Al4 Cu1 Ru3'
_cell_length_a 3.090
_cell_length_b 4.157
_cell_length_c 8.418
_cell_angle_alpha 90.00
_cell_angle_beta 90.00
_cell_angle_gamma 90.00
_symmetry_space_group_name_H-M 'P 1'
_symmetry_Int_Tables_number 1
loop_
_symmetry_equiv_pos_as_xyz
'x,y,z'
loop_
_atom_site_label
_atom_site_type_symbol
_atom_site_fract_x
_atom_site_fract_y
_atom_site_fract_z
Al1 Al 0.000 0.000 0.000
Al2 Al 0.000 0.000 0.500
Al3 Al 0.000 0.500 0.239
Al4 Al 0.000 0.500 0.761
Cu1 Cu 0.500 0.500 0.500
Ru1 Ru 0.500 0.000 0.266
Ru2 Ru 0.500 0.000 0.734
Ru3 Ru 0.500 0.500 0.000
```

Results
For the formation enthalpy at 0 K, the calculation gives -0.6433 eV/atom. The value obtained for the electronic total energy is -6.505 eV per atom.

ScGaIr | PBE | optimized geometry

CIF file:
```
data_ScGaIr
_chemical_formula_sum 'Sc1 Ga1 Ir1'
_cell_length_a 4.969
_cell_length_b 4.969
_cell_length_c 4.969
_cell_angle_alpha 139.93
_cell_angle_beta 139.93
_cell_angle_gamma 57.96
_symmetry_space_group_name_H-M 'P 1'
_symmetry_Int_Tables_number 1
loop_
_symmetry_equiv_pos_as_xyz
'x,y,z'
loop_
_atom_site_label
_atom_site_type_symbol
_atom_site_fract_x
_atom_site_fract_y
_atom_site_fract_z
Sc1 Sc 0.000 0.000 0.000
Ga1 Ga 0.683 0.683 0.000
Ir1 Ir 0.332 0.332 0.000
```

Results
For the formation enthalpy at 0 K, the calculation gives -0.6765 eV/atom. The value obtained for the electronic total energy is -6.750 eV per atom.